## one
Entry from Alexandria via LeMat-Bulk: an optimized crystal structure of Ce3Zn2Ir3 (PBE).

DOS at the Fermi energy in states/eV per cell: 17.3
Magnetization in μB per formula unit: 0.00
Volume in A^3/atom: 20.3
Space group: P6_3/mcm (193)

Cell lengths 5.6712, 8.1417, 8.1417 Å; angles 120.00, 90.00, 90.00 degrees
Positions (direct):
Ce 0.7500 0.0000 0.2726
Ce 0.2500 0.0000 0.7274
Ce 0.2500 0.7274 0.0000
Ce 0.2500 0.2726 0.2726
Ce 0.7500 0.7274 0.7274
Ce 0.7500 0.2726 0.0000
Zn 0.0000 0.6667 0.3333
Zn 0.0000 0.3333 0.6667
Zn 0.5000 0.6667 0.3333
Zn 0.5000 0.3333 0.6667
Ir 0.7500 0.3876 0.3876
Ir 0.7500 0.6124 0.0000
Ir 0.2500 0.3876 0.0000
Ir 0.2500 0.6124 0.6124
Ir 0.2500 0.0000 0.3876
Ir 0.7500 0.0000 0.6124

***

## two
Entry from Alexandria via LeMat-Bulk: an optimized crystal structure of Ce3Zn2Ir3 (PBE).

DOS at the Fermi energy in states/eV per cell: 18.1
Magnetization in μB per formula unit: 1.05
Volume in A^3/atom: 20.7
Space group: Cmcm (63)

Cell lengths 3.9361, 6.4696, 13.6459 Å; angles 90.00, 90.00, 107.71 degrees
Each line ends with the local moment (μB).
Positions (direct):
Zn 0.7678 0.5356 0.5754  0.00
Zn 0.2322 0.4644 0.0754  0.00
Zn 0.2322 0.4644 0.4246  0.00
Zn 0.7678 0.5356 0.9246  0.00
Ce 0.0717 0.1433 0.6134  0.21
Ce 0.0717 0.1433 0.8866  0.21
Ce 0.3460 0.6921 0.7500  0.41
Ce 0.9283 0.8567 0.1134  0.21
Ce 0.9283 0.8567 0.3866  0.21
Ce 0.6540 0.3079 0.2500  0.41
Ir 0.4024 0.8048 0.5517  -0.03
Ir 0.5976 0.1952 0.0517  -0.03
Ir 0.5976 0.1952 0.4483  -0.03
Ir 0.4024 0.8048 0.9483  -0.03
Ir 0.3374 0.6748 0.2500  -0.03
Ir 0.6626 0.3252 0.7500  -0.03

***

Least stable: one